# Rb2Au2O5 | OQMD | PBE-GGA | optimized geometry
# - E above lowest polymorph: 429.1 meV per atom
# - V: 184.27 Å³/f.u.
data_Rb2Au2O5
_chemical_formula_sum 'Rb2 Au2 O5'
_cell_length_a 4.2041
_cell_length_b 4.2041
_cell_length_c 10.4257
_cell_angle_alpha 90.00
_cell_angle_beta 90.00
_cell_angle_gamma 90.00
_space_group_name_H-M_alt 'P 4/m m m'
_space_group_IT_number 123
_space_group_name_Hall '-P 4 2'
loop_
_atom_site_label
_atom_site_fract_x
_atom_site_fract_y
_atom_site_fract_z
Rb1 0.0000 0.0000 0.2503
Au1 0.5000 0.5000 0.0000
Au2 0.5000 0.5000 0.5000
O1 0.0000 0.0000 0.0000
O2 0.0000 0.5000 0.4299


# Rb2AuO2 | OQMD | PBE-GGA | optimized geometry
# - V: 119.20 Å³/f.u.
# - E: -3.93 eV per atom
data_Rb2AuO2
_chemical_formula_sum 'Rb4 Au2 O4'
_cell_length_a 4.1446
_cell_length_b 4.1446
_cell_length_c 13.8780
_cell_angle_alpha 90.00
_cell_angle_beta 90.00
_cell_angle_gamma 90.00
_space_group_name_H-M_alt 'I 4/m m m'
_space_group_IT_number 139
_space_group_name_Hall '-I 4 2'
loop_
_atom_site_label
_atom_site_fract_x
_atom_site_fract_y
_atom_site_fract_z
Rb1 0.0000 0.0000 0.1550
Au1 0.0000 0.0000 0.5000
O1 0.0000 0.0000 0.3598


# RbAuO3 | OQMD | PBE-GGA | optimized geometry
# - V: 97.33 Å³/f.u.
# - E: -4.20 eV per atom
data_RbAuO3
_chemical_formula_sum 'Rb4 Au4 O12'
_cell_length_a 5.5004
_cell_length_b 11.9377
_cell_length_c 6.0871
_cell_angle_alpha 90.00
_cell_angle_beta 103.09
_cell_angle_gamma 90.00
_space_group_name_H-M_alt 'C 1 2/c 1'
_space_group_IT_number 15
loop_
_space_group_symop_operation_xyz
'x,y,z'
'-x,-y,-z'
'-x,y,-z+1/2'
'x,-y,z+1/2'
'x+1/2,y+1/2,z'
'-x+1/2,-y+1/2,-z'
'-x+1/2,y+1/2,-z+1/2'
'x+1/2,-y+1/2,z+1/2'
loop_
_atom_site_label
_atom_site_fract_x
_atom_site_fract_y
_atom_site_fract_z
Rb1 0.0000 0.1332 0.2500
Au1 0.0000 0.4113 0.2500
O1 0.0000 0.1648 0.7500
O2 0.1965 0.0917 0.8809


Among the records above, which one has the highest V?
Rb2Au2O5


The highest V belongs to which entry?
Rb2Au2O5


Look up the V of the third one.
97.33 Å³/f.u.


Which formula does entry 2 have?
Rb2AuO2